(1)
## Rb3Pa3SbTe8 (GGA-PBE)

Data for a relaxed structure of Rb3Pa3SbTe8.

Unit cell a=8.9305 b=8.9305 c=26.3996 alpha=90.00 beta=90.00 gamma=120.00
Closest atoms and distances in Å follow each position.
Space group R-3m (No. 166, hexagonal axes)
Inequivalent atoms, fractional coordinates:
Rb  0.0000  0.5000  0.0000 x9  6 Te 3.66-3.70
Pa  0.0000  0.5000  0.5000 x9  6 Te 3.12-3.14
Sb  0.0000  0.0000  0.5000 x3  6 Te 3.12
Te  0.0000  0.0000  0.2347 x6  3 Pa 3.14
Te  0.9996  0.4998  0.2331 x18  2 Pa 3.12, 1 Sb 3.12

Raw formation energy, eV/atom: -0.79

=====

(2)
## Fe2IrOs (GGA-PBE)

Data for a relaxed structure of Fe2IrOs.

Unit cell a=2.6259 b=3.6250 c=5.2512 alpha=90.00 beta=90.00 gamma=90.00
Closest atoms and distances in Å follow each position.
Space group Pmmm (No. 47)
Inequivalent atoms, fractional coordinates:
Fe  0.0000  0.0000  0.2457 x2  4 Fe 2.58-2.67, 4 Os 2.58, 4 Ir 2.61
Ir  0.5000  0.5000  0.5000 x1  8 Fe 2.61, 2 Os 2.63, 2 Ir 2.63
Os  0.5000  0.5000  0.0000 x1  8 Fe 2.58, 2 Ir 2.63, 2 Os 2.63

E_form, eV per formula unit: 0.32

=====

no.,DOS at the Fermi energy (states/eV per cell),magnetization (μB per formula unit)
1,58.02,5.019
2,4.59,0.001